Computed, not measured: a relaxed La2Nd2Tm3 crystal at the GGA-PBE level of DFT.

Cell lengths 6.190, 13.028, 6.363 Å; angles 90.00, 111.51, 90.00 degrees
Space group P2_1/c (No. 14)
Symmetry-distinct sites (fractional):
1 La 0.094 0.178 0.370
2 Nd 0.395 0.709 0.638
3 Tm 0.174 0.048 0.883
4 Tm 0.500 0.000 0.500

Summary:
As for the theoretical density: 7.47 g cm⁻³. As for the formation energy from the elements: 184 meV/atom. For the total magnetization, the calculation gives 0.00 μB/f.u. As for the total energy: -4.502 eV/atom.